Entry 1:
## Rb2YI2 (PBE)

Data for a geometry-optimized Rb2YI2 structure.

abc: 6.7441 6.7441 8.1144
angles: 65.45 65.45 90.00
Fractional positions:
I1 0.2500 0.7500 0.5000
I2 0.7500 0.2500 0.5000
Rb1 0.6638 0.6638 0.6724
Rb2 0.3362 0.3362 0.3276
Y1 0.0000 0.0000 0.0000

Summary:
- ΔE to the lowest computed polymorph: 293 meV/atom
- Spin magnetization: 1.00 μB per cell
- Formation energy without anion corrections: -0.31 eV per atom



Entry 2:
## PrThNbN4 (PBE)

Data for a geometry-optimized PrThNbN4 structure.

abc: 5.7597 5.7328 6.9576
angles: 90.00 114.45 90.00
Fractional positions:
Nb1 0.2619 0.7500 0.5238
N1 0.9300 0.2500 0.8599
N2 0.0700 0.7500 0.1401
N3 0.0000 0.5000 0.5000
Pr1 0.3914 0.2500 0.7829
N4 0.4205 0.7500 0.8411
Th1 0.1065 0.2500 0.2130
Nb2 0.7381 0.2500 0.4762
N5 0.5000 0.5000 0.5000
N6 0.5795 0.2500 0.1589
N7 0.5000 0.0000 0.5000
Pr2 0.6086 0.7500 0.2171
N8 0.0000 0.0000 0.5000
Th2 0.8935 0.7500 0.7870

Summary:
- Spin magnetization: 0.00 μB per cell
- Formation energy without anion corrections: -1.25 eV per atom



Entry 3:
## MgCo6 (PBE)

Data for a geometry-optimized MgCo6 structure.

abc: 4.7082 7.5604 9.7118
angles: 90.00 90.00 90.00
Fractional positions:
Co1 0.5112 0.0705 0.6924
Co2 0.7500 0.6834 0.2569
Co3 0.2500 0.6348 0.3516
Co4 0.7500 0.0900 0.4772
Co5 0.5112 0.5705 0.8076
Co6 0.4888 0.4295 0.1924
Co7 0.7500 0.5900 0.0228
Co8 0.0112 0.9295 0.3076
Mg1 0.2500 0.2581 0.4367
Mg2 0.7500 0.7419 0.5633
Co9 0.9888 0.0705 0.6924
Co10 0.2500 0.3166 0.7431
Co11 0.2500 0.5664 0.5829
Co12 0.9888 0.5705 0.8076
Co13 0.2500 0.1348 0.1484
Co14 0.7500 0.4336 0.4171
Co15 0.4888 0.9295 0.3076
Mg3 0.7500 0.2419 0.9367
Co16 0.7500 0.9336 0.0829
Co17 0.2500 0.9100 0.5228
Co18 0.2500 0.4100 0.9772
Co19 0.0112 0.4295 0.1924
Co20 0.7500 0.1834 0.2431
Co21 0.7500 0.8652 0.8516
Mg4 0.2500 0.7581 0.0633
Co22 0.2500 0.8166 0.7569
Co23 0.7500 0.3652 0.6484
Co24 0.2500 0.0664 0.9171

Summary:
- ΔE to the lowest computed polymorph: 0 meV/atom
- Formation energy from the elements: 0.08 eV per atom
- Spin magnetization: 37.64 μB per cell